1.
First-principles (GGA-PBE) data for a relaxed Rb2CeNpS4 crystal, as listed in Alexandria.

abc: 7.238 4.179 8.054
angles: 90.00 107.48 90.00
Space group P2/m (No. 10)
Inequivalent atoms, fractional coordinates:
Rb (0.000, 0.000, 0.000) [1 per cell]
Rb (0.500, 0.500, 0.000) [1 per cell]
Ce (0.000, 0.500, 0.500) [1 per cell]
Np (0.500, 0.000, 0.500) [1 per cell]
S (0.235, 0.000, 0.695) [2 per cell]
S (0.274, 0.500, 0.309) [2 per cell]

Computed properties:
Volume ... 29.0 Å³ per atom
Total DFT energy (no corrections) ... -6.23 eV/atom
Raw formation energy ... -1.5638 eV/atom
Density ... 4.83 Mg/m³

---

2.
First-principles (GGA-PBE) data for a relaxed Rb3Ce2NpS6 crystal, as listed in Alexandria.

abc: 7.278 12.608 8.058
angles: 90.00 107.52 90.00
Space group C2/m (No. 12)
Inequivalent atoms, fractional coordinates:
Rb (0.000, 0.000, 0.000) [2 per cell]
Rb (0.000, 0.333, 0.000) [4 per cell]
Ce (0.000, 0.167, 0.500) [4 per cell]
Np (0.000, 0.500, 0.500) [2 per cell]
S (0.229, 0.336, 0.694) [8 per cell]
S (0.236, 0.000, 0.694) [4 per cell]

Computed properties:
Volume ... 29.4 Å³ per atom
Total DFT energy (no corrections) ... -6.00 eV/atom
Raw formation energy ... -1.6292 eV/atom
Density ... 4.55 Mg/m³

---

3.
First-principles (GGA-PBE) data for a relaxed Rb4CeNp3S8 crystal, as listed in Alexandria.

abc: 8.2941 8.2941 23.0475
angles: 90.00 90.00 120.00
Space group R-3m (No. 166, hexagonal axes)
Inequivalent atoms, fractional coordinates:
Rb (0.0000, 0.0000, 0.0000) [3 per cell]
Rb (0.0000, 0.5000, 0.0000) [9 per cell]
Ce (0.0000, 0.0000, 0.5000) [3 per cell]
Np (0.0000, 0.5000, 0.5000) [9 per cell]
S (0.0000, 0.0000, 0.2293) [6 per cell]
S (0.0047, 0.5023, 0.7690) [18 per cell]

Computed properties:
Volume ... 28.6 Å³ per atom
Total DFT energy (no corrections) ... -6.57 eV/atom
Raw formation energy ... -1.4678 eV/atom
Density ... 5.26 Mg/m³